[1]
Entry from Alexandria via LeMat-Bulk: a geometry-optimized BaSrPrVO6 structure (GGA+U).

```
BaSrPrVO6
1.0
0.000 4.239 4.239
4.239 0.000 4.239
4.239 4.239 0.000
Pr O V Ba Sr
1 6 1 1 1
direct
0.000 0.000 0.000
0.275 0.725 0.725
0.725 0.725 0.275
0.275 0.275 0.725
0.275 0.725 0.275
0.725 0.275 0.725
0.725 0.275 0.275
0.500 0.500 0.500
0.750 0.750 0.750
0.250 0.250 0.250
```

Offset from the most stable computed form (kJ per mole of atoms): 2.41
Raw total energy (eV per atom): -7.17
M_tot (μB/cell): 0.00
Space group: F-43m, No. 216


[2]
Entry from Alexandria via LeMat-Bulk: a geometry-optimized BaSrPrVO6 structure (GGA+U).

```
BaSrPrVO6
1.0
-2.732 -4.101 3.364
4.488 0.224 3.935
-4.026 6.176 4.079
Sr O Pr Ba V
2 12 2 2 2
direct
0.972 0.008 0.747
0.028 0.992 0.253
0.698 0.250 0.522
0.796 0.744 0.045
0.242 0.190 0.541
0.243 0.705 0.030
0.536 0.947 0.723
0.464 0.053 0.277
0.302 0.750 0.478
0.989 0.574 0.777
0.758 0.810 0.459
0.011 0.426 0.223
0.204 0.256 0.955
0.757 0.295 0.970
0.000 0.500 0.500
0.500 0.000 0.000
0.515 0.505 0.249
0.485 0.495 0.751
0.500 0.000 0.500
0.000 0.500 0.000
```

Offset from the most stable computed form (kJ per mole of atoms): 0.00
Raw total energy (eV per atom): -7.20
M_tot (μB/cell): 0.00
Space group: P-1, No. 2